(one)
A relaxed structure of RbBe2Ni. Source: the Alexandria database, functional GGA-PBE.

Properties
Mass density in g cm⁻³: 3.1
V in Å³/cell: 172.8

Unit cell a=5.020 b=5.020 c=7.721 alpha=71.03 beta=71.03 gamma=90.00
Fractional coordinates of all 8 atoms:
1 Ni 0.500 0.500 0.000
2 Ni 0.250 0.750 0.500
3 Rb 0.000 0.000 0.000
4 Rb 0.750 0.250 0.500
5 Be 0.374 0.125 0.250
6 Be 0.376 0.625 0.250
7 Be 0.375 0.626 0.750
8 Be 0.875 0.624 0.750

=====

(two)
A relaxed structure of RbBe2Ni. Source: the Alexandria database, functional GGA-PBE.

Properties
Mass density in g cm⁻³: 3.7
V in Å³/cell: 72.6

Unit cell a=4.683 b=4.683 c=4.683 alpha=60.00 beta=60.00 gamma=60.00
Fractional coordinates of all 4 atoms:
1 Ni 0.000 0.000 0.000
2 Rb 0.500 0.500 0.500
3 Be 0.250 0.250 0.250
4 Be 0.750 0.750 0.750

=====

Winner for stability: (one)

=====

(one)
A relaxed structure of RbBe3Ni. Source: the Alexandria database, functional GGA-PBE.

Properties
Mass density in g cm⁻³: 3.4
V in Å³/cell: 84.1

Unit cell a=4.381 b=4.381 c=4.381 alpha=90.00 beta=90.00 gamma=90.00
Fractional coordinates of all 5 atoms:
1 Ni 0.000 0.000 0.000
2 Rb 0.500 0.500 0.500
3 Be 0.000 0.500 0.000
4 Be 0.000 0.000 0.500
5 Be 0.500 0.000 0.000

=====

(two)
A relaxed structure of RbBe3Ni. Source: the Alexandria database, functional GGA-PBE.

Properties
Mass density in g cm⁻³: 2.2
V in Å³/cell: 129.6

Unit cell a=5.060 b=5.060 c=5.060 alpha=90.00 beta=90.00 gamma=90.00
Fractional coordinates of all 5 atoms:
1 Ni 0.500 0.500 0.500
2 Rb 0.000 0.000 0.000
3 Be 0.000 0.500 0.000
4 Be 0.000 0.000 0.500
5 Be 0.500 0.000 0.000

=====

Winner for stability: (one)

=====

(one)
A relaxed structure of Rb2Be2Ni. Source: the Alexandria database, functional GGA-PBE.

Properties
Mass density in g cm⁻³: 2.7
V in Å³/cell: 300.1

Unit cell a=10.011 b=10.011 c=2.994 alpha=90.00 beta=90.00 gamma=90.00
Last column: magnetic moment on the atom in μB.
Fractional coordinates of all 10 atoms:
1 Ni 0.000 0.000 0.000  0.78
2 Ni 0.500 0.500 0.000  0.78
3 Rb 0.292 0.792 0.000  -0.01
4 Rb 0.792 0.708 0.000  -0.01
5 Rb 0.708 0.208 0.000  -0.01
6 Rb 0.208 0.292 0.000  -0.01
7 Be 0.074 0.574 0.500  -0.01
8 Be 0.574 0.926 0.500  -0.01
9 Be 0.926 0.426 0.500  -0.01
10 Be 0.426 0.074 0.500  -0.01

=====

(two)
A relaxed structure of Rb2Be2Ni. Source: the Alexandria database, functional GGA-PBE.

Properties
Mass density in g cm⁻³: 3.6
V in Å³/cell: 114.3

Unit cell a=3.170 b=3.170 c=11.597 alpha=82.15 beta=82.15 gamma=90.00
Fractional coordinates of all 5 atoms:
1 Ni 0.000 0.000 0.000
2 Rb 0.394 0.394 0.211
3 Rb 0.606 0.606 0.789
4 Be 0.750 0.250 0.500
5 Be 0.250 0.750 0.500

=====

Winner for stability: (two)

=====

(one)
A relaxed structure of BeReNi. Source: the Alexandria database, functional GGA-PBE.

Properties
Mass density in g cm⁻³: 12.3
V in Å³/cell: 34.2

Unit cell a=3.949 b=3.949 c=2.536 alpha=90.00 beta=90.00 gamma=120.00
Fractional coordinates of all 3 atoms:
1 Re 0.333 0.667 0.667
2 Be 0.000 0.000 0.166
3 Ni 0.667 0.333 0.167

=====

(two)
A relaxed structure of BeReNi. Source: the Alexandria database, functional GGA-PBE.

Properties
Mass density in g cm⁻³: 12.6
V in Å³/cell: 33.3

Unit cell a=5.039 b=5.039 c=5.039 alpha=149.24 beta=149.28 gamma=44.03
Fractional coordinates of all 3 atoms:
1 Re 0.661 0.661 0.000
2 Be 0.985 0.985 0.000
3 Ni 0.354 0.354 0.000

=====

Winner for stability: (two)

=====

(one)
A relaxed structure of BeReNi. Source: the Alexandria database, functional GGA-PBE.

Properties
Mass density in g cm⁻³: 10.1
V in Å³/cell: 41.9

Unit cell a=3.899 b=3.899 c=3.899 alpha=60.00 beta=60.00 gamma=60.00
Last column: magnetic moment on the atom in μB.
Fractional coordinates of all 3 atoms:
1 Re 0.750 0.750 0.750  0.38
2 Be 0.000 0.000 0.000  0.04
3 Ni 0.500 0.500 0.500  0.28

=====

(two)
A relaxed structure of BeReNi. Source: the Alexandria database, functional GGA-PBE.

Properties
Mass density in g cm⁻³: 10.7
V in Å³/cell: 39.4

Unit cell a=3.818 b=3.818 c=3.818 alpha=60.00 beta=60.00 gamma=60.00
Last column: magnetic moment on the atom in μB.
Fractional coordinates of all 3 atoms:
1 Re 0.000 0.000 0.000  0.56
2 Be 0.500 0.500 0.500  -0.02
3 Ni 0.750 0.750 0.750  0.28

=====

(three)
A relaxed structure of BeReNi. Source: the Alexandria database, functional GGA-PBE.

Properties
Mass density in g cm⁻³: 11.8
V in Å³/cell: 35.8

Unit cell a=2.637 b=2.637 c=5.946 alpha=90.00 beta=90.00 gamma=120.00
Fractional coordinates of all 3 atoms:
1 Re 0.333 0.667 0.671
2 Be 0.000 0.000 0.016
3 Ni 0.667 0.333 0.314

=====

Winner for stability: (three)

=====

(one)
A relaxed structure of Be2Re2Ni. Source: the Alexandria database, functional GGA-PBE.

Properties
Mass density in g cm⁻³: 11.3
V in Å³/cell: 66.2

Unit cell a=4.183 b=4.183 c=4.801 alpha=64.17 beta=64.17 gamma=90.00
Fractional coordinates of all 5 atoms:
1 Re 0.340 0.340 0.320
2 Re 0.660 0.660 0.680
3 Be 0.750 0.250 0.500
4 Be 0.250 0.750 0.500
5 Ni 0.000 0.000 0.000

=====

(two)
A relaxed structure of Be2Re2Ni. Source: the Alexandria database, functional GGA-PBE.

Properties
Mass density in g cm⁻³: 13.7
V in Å³/cell: 108.9

Unit cell a=5.767 b=5.767 c=3.274 alpha=90.00 beta=90.00 gamma=90.00
Fractional coordinates of all 10 atoms:
1 Re 0.176 0.676 0.500
2 Re 0.676 0.824 0.500
3 Re 0.824 0.324 0.500
4 Re 0.324 0.176 0.500
5 Be 0.377 0.877 0.000
6 Be 0.877 0.623 0.000
7 Be 0.623 0.123 0.000
8 Be 0.123 0.377 0.000
9 Ni 0.000 0.000 0.000
10 Ni 0.500 0.500 0.000

=====

(three)
A relaxed structure of Be2Re2Ni. Source: the Alexandria database, functional GGA-PBE.

Properties
Mass density in g cm⁻³: 12.0
V in Å³/cell: 124.3

Unit cell a=6.683 b=6.683 c=2.783 alpha=90.00 beta=90.00 gamma=90.00
Fractional coordinates of all 10 atoms:
1 Re 0.373 0.873 0.000
2 Re 0.873 0.627 0.000
3 Re 0.627 0.127 0.000
4 Re 0.127 0.373 0.000
5 Be 0.170 0.670 0.500
6 Be 0.670 0.830 0.500
7 Be 0.830 0.330 0.500
8 Be 0.330 0.170 0.500
9 Ni 0.000 0.000 0.000
10 Ni 0.500 0.500 0.000

=====

(four)
A relaxed structure of Be2Re2Ni. Source: the Alexandria database, functional GGA-PBE.

Properties
Mass density in g cm⁻³: 11.2
V in Å³/cell: 66.4

Unit cell a=3.539 b=3.539 c=5.863 alpha=72.44 beta=72.44 gamma=90.00
Fractional coordinates of all 5 atoms:
1 Re 0.750 0.250 0.500
2 Re 0.250 0.750 0.500
3 Be 0.406 0.406 0.189
4 Be 0.594 0.594 0.811
5 Ni 0.000 0.000 0.000

=====

Winner for stability: (two)

=====

(one)
A relaxed structure of BeReNi3. Source: the Alexandria database, functional GGA-PBE.

Properties
Mass density in g cm⁻³: 10.7
V in Å³/cell: 57.6

Unit cell a=3.862 b=3.862 c=3.862 alpha=90.00 beta=90.00 gamma=90.00
Last column: magnetic moment on the atom in μB.
Fractional coordinates of all 5 atoms:
1 Re 0.500 0.500 0.500  0.95
2 Be 0.000 0.000 0.000  -0.03
3 Ni 0.000 0.500 0.000  0.42
4 Ni 0.000 0.000 0.500  0.33
5 Ni 0.500 0.000 0.000  0.63

=====

(two)
A relaxed structure of BeReNi3. Source: the Alexandria database, functional GGA-PBE.

Properties
Mass density in g cm⁻³: 6.9
V in Å³/cell: 89.4

Unit cell a=4.471 b=4.471 c=4.471 alpha=90.00 beta=90.00 gamma=90.00
Fractional coordinates of all 5 atoms:
1 Re 0.000 0.000 0.000
2 Be 0.500 0.500 0.500
3 Ni 0.000 0.500 0.000
4 Ni 0.000 0.000 0.500
5 Ni 0.500 0.000 0.000

=====

Winner for stability: (one)

=====

(one)
A relaxed structure of BeNiRh. Source: the Alexandria database, functional GGA-PBE.

Properties
Mass density in g cm⁻³: 8.0
V in Å³/cell: 35.5

Unit cell a=3.688 b=3.688 c=3.688 alpha=60.00 beta=60.00 gamma=60.00
Last column: magnetic moment on the atom in μB.
Fractional coordinates of all 3 atoms:
1 Ni 0.000 0.000 0.000  0.19
2 Rh 0.500 0.500 0.500  0.07
3 Be 0.750 0.750 0.750  -0.01

=====

(two)
A relaxed structure of BeNiRh. Source: the Alexandria database, functional GGA-PBE.

Properties
Mass density in g cm⁻³: 6.9
V in Å³/cell: 41.2

Unit cell a=3.878 b=3.878 c=3.878 alpha=60.00 beta=60.00 gamma=60.00
Last column: magnetic moment on the atom in μB.
Fractional coordinates of all 3 atoms:
1 Ni 0.500 0.500 0.500  0.77
2 Rh 0.750 0.750 0.750  0.37
3 Be 0.000 0.000 0.000  0.00

=====

Winner for stability: (one)

=====

(one)
A relaxed structure of Be4NiRh. Source: the Alexandria database, functional GGA-PBE.

Properties
Mass density in g cm⁻³: 6.0
V in Å³/cell: 54.7

Unit cell a=4.260 b=4.260 c=4.260 alpha=60.00 beta=60.00 gamma=60.00
Fractional coordinates of all 6 atoms:
1 Be 0.375 0.375 0.375
2 Be 0.375 0.874 0.375
3 Be 0.375 0.375 0.874
4 Be 0.874 0.375 0.375
5 Ni 0.750 0.750 0.750
6 Rh 0.000 0.000 0.000

=====

(two)
A relaxed structure of Be4NiRh. Source: the Alexandria database, functional GGA-PBE.

Properties
Mass density in g cm⁻³: 5.3
V in Å³/cell: 61.6

Unit cell a=2.531 b=6.505 c=3.744 alpha=90.00 beta=90.00 gamma=90.00
Fractional coordinates of all 6 atoms:
1 Be 0.500 0.689 0.000
2 Be 0.500 0.311 0.000
3 Be 0.000 0.210 0.500
4 Be 0.000 0.790 0.500
5 Ni 0.500 0.500 0.500
6 Rh 0.000 0.000 0.000

=====

Winner for stability: (one)

=====

(one)
A relaxed structure of Be3NiRh2. Source: the Alexandria database, functional GGA-PBE.

Properties
Mass density in g cm⁻³: 7.9
V in Å³/cell: 61.5

Unit cell a=2.792 b=3.826 c=6.071 alpha=108.37 beta=90.00 gamma=90.00
Fractional coordinates of all 6 atoms:
1 Be 0.500 0.500 0.000
2 Be 0.500 0.834 0.668
3 Be 0.500 0.166 0.332
4 Ni 0.000 0.000 0.000
5 Rh 0.000 0.339 0.678
6 Rh 0.000 0.661 0.322

=====

(two)
A relaxed structure of Be3NiRh2. Source: the Alexandria database, functional GGA-PBE.

Properties
Mass density in g cm⁻³: 7.8
V in Å³/cell: 61.7

Unit cell a=2.758 b=2.758 c=8.111 alpha=90.00 beta=90.00 gamma=90.00
Fractional coordinates of all 6 atoms:
1 Be 0.000 0.000 0.000
2 Be 0.000 0.000 0.660
3 Be 0.000 0.000 0.340
4 Ni 0.500 0.500 0.500
5 Rh 0.500 0.500 0.826
6 Rh 0.500 0.500 0.174

=====

Winner for stability: (one)

=====

(one)
A relaxed structure of Be3NiRh. Source: the Alexandria database, functional GGA-PBE.

Properties
Mass density in g cm⁻³: 4.7
V in Å³/cell: 67.3

Unit cell a=4.067 b=4.067 c=4.067 alpha=90.00 beta=90.00 gamma=90.00
Fractional coordinates of all 5 atoms:
1 Ni 0.500 0.500 0.500
2 Rh 0.000 0.000 0.000
3 Be 0.000 0.500 0.000
4 Be 0.000 0.000 0.500
5 Be 0.500 0.000 0.000

=====

(two)
A relaxed structure of Be3NiRh. Source: the Alexandria database, functional GGA-PBE.

Properties
Mass density in g cm⁻³: 5.6
V in Å³/cell: 56.4

Unit cell a=3.836 b=3.836 c=3.836 alpha=90.00 beta=90.00 gamma=90.00
Fractional coordinates of all 5 atoms:
1 Ni 0.000 0.000 0.000
2 Rh 0.500 0.500 0.500
3 Be 0.000 0.500 0.000
4 Be 0.000 0.000 0.500
5 Be 0.500 0.000 0.000

=====

Winner for stability: (two)

=====

(one)
A relaxed structure of BeNi2Rh2. Source: the Alexandria database, functional GGA-PBE.

Properties
Mass density in g cm⁻³: 9.1
V in Å³/cell: 121.0

Unit cell a=5.477 b=5.477 c=4.032 alpha=90.00 beta=90.00 gamma=90.00
Last column: magnetic moment on the atom in μB.
Fractional coordinates of all 10 atoms:
1 Ni 0.354 0.854 0.000  0.42
2 Ni 0.854 0.646 0.000  0.43
3 Ni 0.646 0.146 0.000  0.42
4 Ni 0.146 0.354 0.000  0.43
5 Rh 0.170 0.670 0.500  0.49
6 Rh 0.670 0.830 0.500  0.55
7 Rh 0.830 0.330 0.500  0.49
8 Rh 0.330 0.170 0.500  0.55
9 Be 0.000 0.000 0.000  -0.03
10 Be 0.500 0.500 0.000  -0.03

=====

(two)
A relaxed structure of BeNi2Rh2. Source: the Alexandria database, functional GGA-PBE.

Properties
Mass density in g cm⁻³: 8.5
V in Å³/cell: 129.2

Unit cell a=5.851 b=5.851 c=3.773 alpha=90.00 beta=90.00 gamma=90.00
Last column: magnetic moment on the atom in μB.
Fractional coordinates of all 10 atoms:
1 Ni 0.150 0.650 0.500  0.54
2 Ni 0.650 0.850 0.500  0.58
3 Ni 0.850 0.350 0.500  0.54
4 Ni 0.350 0.150 0.500  0.58
5 Rh 0.347 0.847 0.000  0.34
6 Rh 0.847 0.653 0.000  0.35
7 Rh 0.653 0.153 0.000  0.34
8 Rh 0.153 0.347 0.000  0.35
9 Be 0.000 0.000 0.000  -0.01
10 Be 0.500 0.500 0.000  -0.01

=====

Winner for stability: (one)